Density functional theory data (PBE) for crystalline SiPbCl2 at its relaxed geometry.

Cell: 9.809 9.809 9.809 Å, 20.17 20.17 20.17°
Element x y z (fractional)
Pb (0.500, 0.500, 0.500)
Cl (0.083, 0.083, 0.083)
Cl (0.917, 0.917, 0.917)
Si (0.000, 0.000, 0.000)

Output
DFT total energy   -0.2502 Ry/atom
Total magnetic moment   0.000 μB/f.u.
Volume   98.2 Å³/cell